[1]
The following is a PBE calculation of an optimized crystal structure of ReNiPd2N, from the Alexandria database.

Raw formation energy   0.426 eV/atom
SG   P4/mmm, No. 123
Mass density   11.55 g cm⁻³

The structure in extended XYZ format:
```
5
Lattice="4.1650 0.0000 0.0000 0.0000 4.1650 0.0000 0.0000 0.0000 3.9101" Properties=species:S:1:pos:R:3 pbc="T T T"
Re 0.0000 0.0000 0.0000
Ni 2.0825 2.0825 0.0000
Pd 0.0000 2.0825 1.9550
Pd 2.0825 0.0000 1.9550
N 0.0000 0.0000 1.9550
```

[2]
The following is a PBE calculation of an optimized crystal structure of ReNi2PdN, from the Alexandria database.

Raw formation energy   0.118 eV/atom
SG   P4/mmm, No. 123
Mass density   11.82 g cm⁻³

The structure in extended XYZ format:
```
5
Lattice="3.8913 0.0000 0.0000 0.0000 3.8913 0.0000 0.0000 0.0000 3.9328" Properties=species:S:1:pos:R:3 pbc="T T T"
Re 0.0000 0.0000 0.0000
Ni 0.0000 1.9456 1.9664
Ni 1.9456 0.0000 1.9664
Pd 1.9456 1.9456 0.0000
N 0.0000 0.0000 1.9664
```

[3]
The following is a PBE calculation of an optimized crystal structure of Ni2PdRhN, from the Alexandria database.

Raw formation energy   0.117 eV/atom
SG   P4/mmm, No. 123
Mass density   9.56 g cm⁻³

The structure in extended XYZ format:
```
5
Lattice="3.8374 0.0000 0.0000 0.0000 3.8374 0.0000 0.0000 0.0000 4.0195" Properties=species:S:1:pos:R:3 pbc="T T T"
Ni 0.0000 1.9187 0.0000
Ni 1.9187 0.0000 0.0000
Pd 0.0000 0.0000 2.0097
Rh 1.9187 1.9187 2.0097
N 1.9187 1.9187 0.0000
```

[4]
The following is a PBE calculation of an optimized crystal structure of NiPdRh2N, from the Alexandria database.

Raw formation energy   0.184 eV/atom
SG   P4/mmm, No. 123
Mass density   10.13 g cm⁻³

The structure in extended XYZ format:
```
5
Lattice="4.0889 0.0000 0.0000 0.0000 4.0889 0.0000 0.0000 0.0000 3.7743" Properties=species:S:1:pos:R:3 pbc="T T T"
Ni 0.0000 0.0000 0.0000
Pd 2.0445 2.0445 0.0000
Rh 0.0000 2.0445 1.8872
Rh 2.0445 0.0000 1.8872
N 0.0000 0.0000 1.8872
```

[5]
The following is a PBE calculation of an optimized crystal structure of Ni2PdRuN, from the Alexandria database.

Raw formation energy   0.138 eV/atom
SG   P4/mmm, No. 123
Mass density   9.55 g cm⁻³

The structure in extended XYZ format:
```
5
Lattice="3.8732 0.0000 0.0000 0.0000 3.8732 0.0000 0.0000 0.0000 3.9290" Properties=species:S:1:pos:R:3 pbc="T T T"
Ni 0.0000 1.9366 0.0000
Ni 1.9366 0.0000 0.0000
Pd 0.0000 0.0000 1.9645
Ru 1.9366 1.9366 1.9645
N 1.9366 1.9366 0.0000
```

[6]
The following is a PBE calculation of an optimized crystal structure of NiPdRu2N, from the Alexandria database.

Raw formation energy   0.227 eV/atom
SG   P4/mmm, No. 123
Mass density   10.18 g cm⁻³

The structure in extended XYZ format:
```
5
Lattice="4.0022 0.0000 0.0000 0.0000 4.0022 0.0000 0.0000 0.0000 3.8810" Properties=species:S:1:pos:R:3 pbc="T T T"
Ni 0.0000 0.0000 0.0000
Pd 2.0011 2.0011 0.0000
Ru 0.0000 2.0011 1.9405
Ru 2.0011 0.0000 1.9405
N 0.0000 0.0000 1.9405
```

[7]
The following is a PBE calculation of an optimized crystal structure of Ni6Pd2SN, from the Alexandria database.

Raw formation energy   0.010 eV/atom
SG   Cm, No. 8
Mass density   8.37 g cm⁻³

The structure in extended XYZ format:
```
10
Lattice="3.8650 -3.8652 0.0000 3.8650 3.8652 0.0000 -3.8541 0.0000 4.0598" Properties=species:S:1:pos:R:3 pbc="T T T"
Ni 0.0000 0.0000 0.0000
Ni -1.8231 0.0000 2.2071
Ni 0.0023 1.8257 2.2043
Ni 0.0021 0.0000 3.8539
Ni 0.0023 -1.8257 2.2043
Ni 1.8282 0.0000 2.2051
Pd 1.9282 1.9355 0.1422
Pd 1.9282 -1.9355 0.1422
S 3.8683 0.0000 1.8180
N 0.0021 0.0000 1.8336
```

[8]
The following is a PBE calculation of an optimized crystal structure of NiPdS2N, from the Alexandria database.

Raw formation energy   1.182 eV/atom
Excess energy over the best structure of this formula in the dataset   474 meV per atom
SG   P4/mmm, No. 123
Mass density   4.67 g cm⁻³

The structure in extended XYZ format:
```
5
Lattice="4.8622 0.0000 0.0000 0.0000 4.8622 0.0000 0.0000 0.0000 3.6595" Properties=species:S:1:pos:R:3 pbc="T T T"
Ni 0.0000 0.0000 0.0000
Pd 2.4311 2.4311 1.8297
S 0.0000 2.4311 1.8297
S 2.4311 0.0000 1.8297
N 2.4311 2.4311 0.0000
```